Entry 1:
An optimized crystal structure of KNiSn3. Source: Alexandria, functional PBE-GGA.

Computed properties:
Its calculated density is 5.52 g/cm3. Its density of states at the Fermi level is 0.755 states/eV/atom. The value obtained for the energy of formation is 0.003 eV/atom. The final energy comes out at -18.9 eV/cell. The relative energy among the computed polymorphs comes out at 169 meV per atom.

Cell lengths 5.150, 5.150, 5.150 Å; angles 90.00, 90.00, 90.00 degrees
Fractional coordinates of all 5 atoms:
K  0.000  0.000  0.000
Ni  0.500  0.500  0.500
Sn  0.000  0.500  0.500
Sn  0.500  0.000  0.500
Sn  0.500  0.500  0.000

---

Entry 2:
An optimized crystal structure of ThAlZnPd3. Source: Alexandria, functional PBE-GGA.

Computed properties:
Its calculated density is 9.28 g/cm3. Its density of states at the Fermi level is 0.513 states/eV/atom. The value obtained for the energy of formation is -0.560 eV/atom. The final energy comes out at -62.7 eV/cell.

Cell lengths 7.011, 7.011, 5.713 Å; angles 90.00, 90.00, 124.87 degrees
Fractional coordinates of all 12 atoms:
Th  0.200  0.800  0.750
Th  0.800  0.200  0.250
Al  0.451  0.549  0.750
Al  0.549  0.451  0.250
Zn  0.137  0.863  0.250
Zn  0.863  0.137  0.750
Pd  0.209  0.209  0.000
Pd  0.209  0.209  0.500
Pd  0.339  0.661  0.250
Pd  0.661  0.339  0.750
Pd  0.791  0.791  0.000
Pd  0.791  0.791  0.500

---

Question: Among the records above, which one has the highest final energy?
Answer: KNiSn3